a | A plane-wave DFT calculation with GGA-PBE was carried out for a geometry-optimized PmSm4Er5 structure.

The space group is I4 (No. 79) and the conventional cell measures 10.282, 10.282 and 6.245 Å, with angles of 90.00, 90.00 and 90.00 degrees. The asymmetric unit holds Pm at (0.000, 0.000, 0.000), Sm at (0.047, 0.349, 0.768), Er at (0.000, 0.000, 0.539) and Er at (0.149, 0.230, 0.272).

Its density of states at the Fermi level is 28.69 states/eV/cell.

---

b | A plane-wave DFT calculation with GGA-PBE was carried out for a geometry-optimized PmSm4Er5 structure.

The space group is P-1 (No. 2) and the conventional cell measures 3.530, 8.748 and 11.125 Å, with angles of 90.18, 90.03 and 101.63 degrees. The asymmetric unit holds Pm at (0.000, 0.000, 0.000), Sm at (0.153, 0.310, 0.250), Sm at (0.469, 0.940, 0.252), Er at (0.000, 0.000, 0.500), Er at (0.326, 0.651, 0.053) and Er at (0.327, 0.654, 0.452).

Its density of states at the Fermi level is 13.59 states/eV/cell.

---

What is the stability order? It is b, a, from most stable to least stable.

---

a | A plane-wave DFT calculation with GGA-PBE was carried out for a geometry-optimized Pm2Sm2Er structure.

The space group is Imma (No. 74) and the conventional cell measures 3.634, 5.780 and 32.161 Å, with angles of 90.00, 90.00 and 90.00 degrees. The asymmetric unit holds Pm at (0.000, 0.250, 0.192), Pm at (0.000, 0.250, 0.707), Sm at (0.000, 0.250, 0.882), Sm at (0.000, 0.250, 0.979) and Er at (0.000, 0.250, 0.422).

Its density of states at the Fermi level is 29.56 states/eV/cell.

---

b | A plane-wave DFT calculation with GGA-PBE was carried out for a geometry-optimized Pm2Sm2Er structure.

The space group is C2/c (No. 15) and the conventional cell measures 16.267, 6.166 and 6.861 Å, with angles of 90.00, 102.00 and 90.00 degrees. The asymmetric unit holds Pm at (0.195, 0.053, 0.078), Sm at (0.096, 0.421, 0.647) and Er at (0.000, 0.072, 0.250).

Its density of states at the Fermi level is 33.28 states/eV/cell.

---

What is the stability order? It is b, a, from most stable to least stable.

---

a | A plane-wave DFT calculation with GGA-PBE was carried out for a geometry-optimized PmSm4Er6 structure.

The space group is I-42m (No. 121) and the conventional cell measures 7.728, 7.728 and 12.900 Å, with angles of 90.00, 90.00 and 90.00 degrees. The asymmetric unit holds Pm at (0.000, 0.000, 0.000), Sm at (0.172, 0.172, 0.425), Er at (0.000, 0.500, 0.000) and Er at (0.248, 0.248, 0.685).

Its density of states at the Fermi level is 31.63 states/eV/cell.

---

b | A plane-wave DFT calculation with GGA-PBE was carried out for a geometry-optimized PmSm4Er6 structure.

The space group is I-42m (No. 121) and the conventional cell measures 6.621, 6.621 and 16.932 Å, with angles of 90.00, 90.00 and 90.00 degrees. The asymmetric unit holds Pm at (0.000, 0.000, 0.000), Sm at (0.189, 0.189, 0.175), Er at (0.000, 0.500, 0.000) and Er at (0.178, 0.178, 0.373).

Its density of states at the Fermi level is 28.66 states/eV/cell.

---

What is the stability order? It is b, a, from most stable to least stable.